(1)
First-principles (PBEsol) data for crystalline CeIr5 at its relaxed geometry, as listed in Alexandria.

Cell lengths 4.3142, 5.2364, 5.2364 Å; angles 120.00, 90.00, 90.00 degrees
With the nearest neighbours (Å) after each atom.
Positions (direct):
Ir1 0.5000 0.0000 0.5000  8 Ir 2.62-2.63
Ir2 0.0000 0.6667 0.3333  6 Ir 2.63
Ir3 0.5000 0.5000 0.5000  8 Ir 2.62-2.63
Ce1 0.0000 0.0000 0.0000  6 Ir 3.02
Ir4 0.5000 0.5000 0.0000  8 Ir 2.62-2.63
Ir5 0.0000 0.3333 0.6667  6 Ir 2.63

Values from the calculation:
The formation energy is -0.286 eV per atom. As for the volume: 17.1 Å³/atom. The total energy is -9.5714 eV per atom.

(2)
First-principles (PBEsol) data for crystalline TeIr2Cl at its relaxed geometry, as listed in Alexandria.

Cell lengths 2.9280, 3.0054, 8.8038 Å; angles 90.00, 90.00, 119.15 degrees
With the nearest neighbours (Å) after each atom.
Positions (direct):
Ir1 0.0000 0.0000 0.7619  2 Cl 2.56, 2 Te 2.73
Ir2 0.0000 0.0000 0.2381  2 Cl 2.56, 2 Te 2.73
Te1 0.5000 0.0000 0.5000  4 Ir 2.73, 6 Te 2.93-3.01
Cl1 0.5000 0.0000 0.0000  4 Ir 2.56

Values from the calculation:
Its uncorrected formation energy is 0.808 eV/atom. As for the volume: 16.9 Å³/atom. As for the energy above the most stable polymorph in this dataset: 374 meV/atom. The total energy is -5.4876 eV per atom.